Here is Sr3Sb4Rh4 after structural relaxation from the Alexandria database. Energies are from PBE.

a b c (Å): 7.084 7.084 7.084
angles (deg): 109.47 109.47 109.47
Sites, in units of the cell vectors:
1 Sr 0.000 0.500 0.500
2 Sr 0.500 0.000 0.500
3 Sr 0.500 0.500 0.000
4 Sb 0.000 0.000 0.633
5 Sb 0.000 0.633 0.000
6 Sb 0.367 0.367 0.367
7 Sb 0.633 0.000 0.000
8 Rh 0.000 0.000 0.274
9 Rh 0.000 0.274 0.000
10 Rh 0.274 0.000 0.000
11 Rh 0.726 0.726 0.726

Output
The calculation puts the total energy at -5.335 eV per atom. The calculation puts the uncorrected formation energy at -0.704 eV per atom. The value obtained for the excess energy over the best structure of this formula in the dataset is 19 meV per atom.

Here is Sr4SbRh after structural relaxation from the Alexandria database. Energies are from PBE.

a b c (Å): 6.593 6.593 6.593
angles (deg): 60.00 60.00 60.00
Sites, in units of the cell vectors:
1 Sr 0.125 0.125 0.125
2 Sr 0.125 0.125 0.626
3 Sr 0.125 0.626 0.125
4 Sr 0.626 0.125 0.125
5 Sb 0.500 0.500 0.500
6 Rh 0.750 0.750 0.750

Output
The calculation puts the total energy at -2.531 eV per atom. The calculation puts the uncorrected formation energy at 0.503 eV per atom. The value obtained for the excess energy over the best structure of this formula in the dataset is 1028 meV per atom.

Here is SrSb2Rh3 after structural relaxation from the Alexandria database. Energies are from PBE.

a b c (Å): 8.947 8.947 10.466
angles (deg): 106.46 106.46 27.56
Sites, in units of the cell vectors:
1 Sr 0.000 0.000 0.000
2 Sr 0.163 0.163 0.705
3 Sr 0.837 0.837 0.295
4 Sb 0.193 0.193 0.126
5 Sb 0.360 0.360 0.543
6 Sb 0.464 0.464 0.223
7 Sb 0.536 0.536 0.777
8 Sb 0.640 0.640 0.457
9 Sb 0.807 0.807 0.874
10 Rh 0.044 0.044 0.334
11 Rh 0.214 0.214 0.392
12 Rh 0.320 0.320 0.035
13 Rh 0.378 0.378 0.795
14 Rh 0.500 0.500 0.500
15 Rh 0.622 0.622 0.205
16 Rh 0.680 0.680 0.965
17 Rh 0.786 0.786 0.608
18 Rh 0.956 0.956 0.666

Output
The calculation puts the total energy at -5.950 eV per atom. The calculation puts the uncorrected formation energy at -0.620 eV per atom. The value obtained for the excess energy over the best structure of this formula in the dataset is 0 meV per atom.

Here is SrSb2Rh2 after structural relaxation from the Alexandria database. Energies are from PBE.

a b c (Å): 7.986 7.986 3.374
angles (deg): 90.00 90.00 90.00
Sites, in units of the cell vectors:
1 Sr 0.000 0.000 0.000
2 Sr 0.500 0.500 0.000
3 Sb 0.151 0.349 0.500
4 Sb 0.349 0.849 0.500
5 Sb 0.651 0.151 0.500
6 Sb 0.849 0.651 0.500
7 Rh 0.127 0.627 0.000
8 Rh 0.373 0.127 0.000
9 Rh 0.627 0.873 0.000
10 Rh 0.873 0.373 0.000

Output
The calculation puts the total energy at -5.331 eV per atom. The calculation puts the uncorrected formation energy at -0.405 eV per atom.

Here is Sr2Sb7Rh12 after structural relaxation from the Alexandria database. Energies are from PBE.

a b c (Å): 10.539 10.539 4.130
angles (deg): 90.00 90.00 120.00
Sites, in units of the cell vectors:
1 Sr 0.000 0.000 0.000
2 Sr 0.333 0.667 0.500
3 Sb 0.061 0.448 0.000
4 Sb 0.264 0.228 0.500
5 Sb 0.387 0.939 0.000
6 Sb 0.552 0.613 0.000
7 Sb 0.667 0.333 0.000
8 Sb 0.772 0.036 0.500
9 Sb 0.964 0.736 0.500
10 Rh 0.042 0.276 0.500
11 Rh 0.114 0.720 0.000
12 Rh 0.234 0.958 0.500
13 Rh 0.280 0.394 0.000
14 Rh 0.389 0.184 0.000
15 Rh 0.540 0.436 0.500
16 Rh 0.564 0.104 0.500
17 Rh 0.606 0.886 0.000
18 Rh 0.724 0.766 0.500
19 Rh 0.795 0.611 0.000
20 Rh 0.816 0.205 0.000
21 Rh 0.896 0.460 0.500

Output
The calculation puts the total energy at -6.280 eV per atom. The calculation puts the uncorrected formation energy at -0.545 eV per atom.

Here is Sr2SbRh2 after structural relaxation from the Alexandria database. Energies are from PBE.

a b c (Å): 7.141 7.141 4.752
angles (deg): 90.00 90.00 90.00
Sites, in units of the cell vectors:
1 Sr 0.176 0.324 0.000
2 Sr 0.324 0.824 0.000
3 Sr 0.676 0.176 0.000
4 Sr 0.824 0.676 0.000
5 Sb 0.000 0.000 0.500
6 Sb 0.500 0.500 0.500
7 Rh 0.133 0.633 0.500
8 Rh 0.367 0.133 0.500
9 Rh 0.633 0.867 0.500
10 Rh 0.867 0.367 0.500

Output
The calculation puts the total energy at -4.903 eV per atom. The calculation puts the uncorrected formation energy at -0.465 eV per atom. The value obtained for the excess energy over the best structure of this formula in the dataset is 164 meV per atom.

Here is Sr2Sb2Rh after structural relaxation from the Alexandria database. Energies are from PBE.

a b c (Å): 7.340 7.340 5.109
angles (deg): 90.00 90.00 90.00
Sites, in units of the cell vectors:
1 Sr 0.168 0.332 0.000
2 Sr 0.332 0.832 0.000
3 Sr 0.668 0.168 0.000
4 Sr 0.832 0.668 0.000
5 Sb 0.148 0.648 0.500
6 Sb 0.352 0.148 0.500
7 Sb 0.648 0.852 0.500
8 Sb 0.852 0.352 0.500
9 Rh 0.000 0.000 0.500
10 Rh 0.500 0.500 0.500

Output
The calculation puts the total energy at -4.464 eV per atom. The calculation puts the uncorrected formation energy at -0.672 eV per atom. The value obtained for the excess energy over the best structure of this formula in the dataset is 154 meV per atom.

Here is SrSbRh3 after structural relaxation from the Alexandria database. Energies are from PBE.

a b c (Å): 6.653 6.653 6.653
angles (deg): 130.16 107.79 92.85
Sites, in units of the cell vectors:
1 Sr 0.258 0.008 0.250
2 Sr 0.742 0.992 0.750
3 Sb 0.000 0.500 0.500
4 Sb 0.500 0.500 0.000
5 Rh 0.059 0.309 0.750
6 Rh 0.288 0.000 0.788
7 Rh 0.288 0.500 0.288
8 Rh 0.712 0.000 0.212
9 Rh 0.712 0.500 0.712
10 Rh 0.941 0.691 0.250

Output
The calculation puts the total energy at -5.896 eV per atom. The calculation puts the uncorrected formation energy at -0.324 eV per atom. The value obtained for the excess energy over the best structure of this formula in the dataset is 0 meV per atom.

Here is SrSb3Rh3 after structural relaxation from the Alexandria database. Energies are from PBE.

a b c (Å): 7.218 7.218 7.218
angles (deg): 90.00 90.00 90.00
Sites, in units of the cell vectors:
1 Sr 0.000 0.000 0.000
2 Sr 0.500 0.500 0.500
3 Sb 0.000 0.250 0.500
4 Sb 0.000 0.750 0.500
5 Sb 0.250 0.500 0.000
6 Sb 0.500 0.000 0.250
7 Sb 0.500 0.000 0.750
8 Sb 0.750 0.500 0.000
9 Rh 0.000 0.500 0.250
10 Rh 0.000 0.500 0.750
11 Rh 0.250 0.000 0.500
12 Rh 0.500 0.250 0.000
13 Rh 0.500 0.750 0.000
14 Rh 0.750 0.000 0.500

Output
The calculation puts the total energy at -5.493 eV per atom. The calculation puts the uncorrected formation energy at -0.335 eV per atom. The value obtained for the excess energy over the best structure of this formula in the dataset is 127 meV per atom.

Here is SrSbRh3 after structural relaxation from the Alexandria database. Energies are from PBE.

a b c (Å): 4.931 4.931 4.931
angles (deg): 90.00 90.00 90.00
Sites, in units of the cell vectors:
1 Sr 0.000 0.000 0.000
2 Sb 0.500 0.500 0.500
3 Rh 0.000 0.000 0.500
4 Rh 0.000 0.500 0.000
5 Rh 0.500 0.000 0.000

Output
The calculation puts the total energy at -4.065 eV per atom. The calculation puts the uncorrected formation energy at 1.507 eV per atom. The value obtained for the excess energy over the best structure of this formula in the dataset is 1830 meV per atom.

Here is Sr2TbSb3Rh4 after structural relaxation from the Alexandria database. Energies are from PBE.

a b c (Å): 4.471 4.471 11.467
angles (deg): 90.00 90.00 90.00
Sites, in units of the cell vectors:
1 Sr 0.000 0.500 0.237
2 Sr 0.500 0.000 0.763
3 Tb 0.000 0.000 0.500
4 Sb 0.000 0.500 0.873
5 Sb 0.500 0.000 0.127
6 Sb 0.500 0.500 0.500
7 Rh 0.000 0.000 0.000
8 Rh 0.000 0.500 0.645
9 Rh 0.500 0.000 0.355
10 Rh 0.500 0.500 0.000

Output
The calculation puts the total energy at -5.762 eV per atom. The calculation puts the uncorrected formation energy at -0.785 eV per atom.

Here is Sr2ThSb3Rh4 after structural relaxation from the Alexandria database. Energies are from PBE.

a b c (Å): 4.623 4.623 11.113
angles (deg): 90.00 90.00 90.00
Sites, in units of the cell vectors:
1 Sr 0.000 0.500 0.225
2 Sr 0.500 0.000 0.775
3 Th 0.000 0.000 0.500
4 Sb 0.000 0.500 0.878
5 Sb 0.500 0.000 0.122
6 Sb 0.500 0.500 0.500
7 Rh 0.000 0.000 0.000
8 Rh 0.000 0.500 0.641
9 Rh 0.500 0.000 0.359
10 Rh 0.500 0.500 0.000

Output
The calculation puts the total energy at -6.034 eV per atom. The calculation puts the uncorrected formation energy at -0.778 eV per atom.

Here is Sr2TlSbRh after structural relaxation from the Alexandria database. Energies are from PBE.

a b c (Å): 5.791 5.791 5.027
angles (deg): 90.00 90.00 90.00
Sites, in units of the cell vectors:
1 Sr 0.000 0.500 0.000
2 Sr 0.500 0.000 0.000
3 Tl 0.000 0.000 0.500
4 Sb 0.500 0.500 0.500
5 Rh 0.500 0.500 0.000

Output
The calculation puts the total energy at -3.883 eV per atom. The calculation puts the uncorrected formation energy at -0.442 eV per atom. The value obtained for the excess energy over the best structure of this formula in the dataset is 0 meV per atom.

Here is Sr2TlSbRh after structural relaxation from the Alexandria database. Energies are from PBE.

a b c (Å): 6.185 6.185 5.500
angles (deg): 90.00 90.00 90.00
Sites, in units of the cell vectors:
1 Sr 0.000 0.500 0.000
2 Sr 0.500 0.000 0.000
3 Tl 0.000 0.000 0.500
4 Sb 0.000 0.000 0.000
5 Rh 0.500 0.500 0.500

Output
The calculation puts the total energy at -2.992 eV per atom. The calculation puts the uncorrected formation energy at 0.449 eV per atom. The value obtained for the excess energy over the best structure of this formula in the dataset is 891 meV per atom.

Here is Sr2TmSb3Rh4 after structural relaxation from the Alexandria database. Energies are from PBE.

a b c (Å): 4.451 4.451 11.451
angles (deg): 90.00 90.00 90.00
Sites, in units of the cell vectors:
1 Sr 0.000 0.500 0.239
2 Sr 0.500 0.000 0.761
3 Tm 0.000 0.000 0.500
4 Sb 0.000 0.500 0.871
5 Sb 0.500 0.000 0.129
6 Sb 0.500 0.500 0.500
7 Rh 0.000 0.000 0.000
8 Rh 0.000 0.500 0.642
9 Rh 0.500 0.000 0.358
10 Rh 0.500 0.500 0.000

Output
The calculation puts the total energy at -5.758 eV per atom. The calculation puts the uncorrected formation energy at -0.797 eV per atom.

Here is Sr2YSb3Rh4 after structural relaxation from the Alexandria database. Energies are from PBE.

a b c (Å): 4.462 4.462 11.504
angles (deg): 90.00 90.00 90.00
Sites, in units of the cell vectors:
1 Sr 0.000 0.500 0.237
2 Sr 0.500 0.000 0.763
3 Y 0.000 0.000 0.500
4 Sb 0.000 0.500 0.873
5 Sb 0.500 0.000 0.127
6 Sb 0.500 0.500 0.500
7 Rh 0.000 0.000 0.000
8 Rh 0.000 0.500 0.645
9 Rh 0.500 0.000 0.355
10 Rh 0.500 0.500 0.000

Output
The calculation puts the total energy at -5.942 eV per atom. The calculation puts the uncorrected formation energy at -0.782 eV per atom.

Here is Sr2ZrSb3Rh4 after structural relaxation from the Alexandria database. Energies are from PBE.

a b c (Å): 4.415 4.415 11.426
angles (deg): 90.00 90.00 90.00
Sites, in units of the cell vectors:
1 Sr 0.000 0.500 0.242
2 Sr 0.500 0.000 0.758
3 Zr 0.000 0.000 0.500
4 Sb 0.000 0.500 0.870
5 Sb 0.500 0.000 0.130
6 Sb 0.500 0.500 0.500
7 Rh 0.000 0.000 0.000
8 Rh 0.000 0.500 0.637
9 Rh 0.500 0.000 0.363
10 Rh 0.500 0.500 0.000

Output
The calculation puts the total energy at -6.133 eV per atom. The calculation puts the uncorrected formation energy at -0.765 eV per atom.

Here is TaSb2Rh after structural relaxation from the Alexandria database. Energies are from PBE.

a b c (Å): 6.412 8.597 3.089
angles (deg): 90.00 111.07 90.00
Sites, in units of the cell vectors:
1 Ta 0.000 0.000 0.000
2 Ta 0.500 0.500 0.000
3 Sb 0.250 0.250 0.500
4 Sb 0.250 0.750 0.500
5 Sb 0.750 0.250 0.500
6 Sb 0.750 0.750 0.500
7 Rh 0.000 0.500 0.000
8 Rh 0.500 0.000 0.000

Output
The calculation puts the total energy at -6.669 eV per atom. The calculation puts the uncorrected formation energy at 0.194 eV per atom.

Here is TaSb2Rh after structural relaxation from the Alexandria database. Energies are from PBE.

a b c (Å): 9.016 3.085 5.820
angles (deg): 90.00 104.45 90.00
Sites, in units of the cell vectors:
1 Ta 0.000 0.000 0.000
2 Ta 0.500 0.500 0.000
3 Sb 0.238 0.000 0.747
4 Sb 0.262 0.500 0.253
5 Sb 0.738 0.500 0.747
6 Sb 0.762 0.000 0.253
7 Rh 0.000 0.500 0.500
8 Rh 0.500 0.000 0.500

Output
The calculation puts the total energy at -6.754 eV per atom. The calculation puts the uncorrected formation energy at 0.108 eV per atom.

Here is Ta2SbRh after structural relaxation from the Alexandria database. Energies are from PBE.

a b c (Å): 2.960 4.210 5.964
angles (deg): 90.00 104.20 90.00
Sites, in units of the cell vectors:
1 Ta 0.000 0.000 0.000
2 Ta 0.352 0.500 0.714
3 Sb 0.740 0.000 0.485
4 Rh 0.602 0.500 0.205

Output
The calculation puts the total energy at -8.919 eV per atom. The calculation puts the uncorrected formation energy at -0.125 eV per atom.

Here is Ta2SbRh after structural relaxation from the Alexandria database. Energies are from PBE.

a b c (Å): 3.022 3.022 27.574
angles (deg): 90.00 90.00 120.00
Sites, in units of the cell vectors:
1 Ta 0.000 0.000 0.245
2 Ta 0.000 0.000 0.755
3 Ta 0.333 0.667 0.421
4 Ta 0.333 0.667 0.912
5 Ta 0.667 0.333 0.088
6 Ta 0.667 0.333 0.579
7 Sb 0.000 0.000 0.000
8 Sb 0.333 0.667 0.667
9 Sb 0.667 0.333 0.333
10 Rh 0.000 0.000 0.500
11 Rh 0.333 0.667 0.167
12 Rh 0.667 0.333 0.833

Output
The calculation puts the total energy at -8.690 eV per atom. The calculation puts the uncorrected formation energy at 0.104 eV per atom.

Here is Ta2SbRh after structural relaxation from the Alexandria database. Energies are from PBE.

a b c (Å): 3.668 4.244 9.029
angles (deg): 90.00 90.00 90.00
Sites, in units of the cell vectors:
1 Ta 0.000 0.000 0.246
2 Ta 0.000 0.000 0.754
3 Ta 0.500 0.500 0.254
4 Ta 0.500 0.500 0.746
5 Sb 0.000 0.500 0.000
6 Sb 0.500 0.000 0.500
7 Rh 0.000 0.500 0.500
8 Rh 0.500 0.000 0.000

Output
The calculation puts the total energy at -9.006 eV per atom. The calculation puts the uncorrected formation energy at -0.211 eV per atom.

Here is TaSb2Rh after structural relaxation from the Alexandria database. Energies are from PBE.

a b c (Å): 6.284 6.284 11.402
angles (deg): 90.00 90.00 90.00
Sites, in units of the cell vectors:
1 Ta 0.000 0.000 0.000
2 Ta 0.000 0.500 0.250
3 Ta 0.500 0.000 0.750
4 Ta 0.500 0.500 0.500
5 Sb 0.229 0.250 0.625
6 Sb 0.250 0.729 0.875
7 Sb 0.250 0.771 0.375
8 Sb 0.271 0.250 0.125
9 Sb 0.729 0.750 0.125
10 Sb 0.750 0.229 0.375
11 Sb 0.750 0.271 0.875
12 Sb 0.771 0.750 0.625
13 Rh 0.000 0.000 0.500
14 Rh 0.000 0.500 0.750
15 Rh 0.500 0.000 0.250
16 Rh 0.500 0.500 0.000

Output
The calculation puts the total energy at -6.324 eV per atom. The calculation puts the uncorrected formation energy at 0.539 eV per atom.

Here is TaSb2Rh after structural relaxation from the Alexandria database. Energies are from PBE.

a b c (Å): 3.212 3.212 26.205
angles (deg): 90.00 90.00 120.00
Sites, in units of the cell vectors:
1 Ta 0.000 0.000 0.000
2 Ta 0.333 0.667 0.667
3 Ta 0.667 0.333 0.333
4 Sb 0.000 0.000 0.245
5 Sb 0.000 0.000 0.755
6 Sb 0.333 0.667 0.422
7 Sb 0.333 0.667 0.911
8 Sb 0.667 0.333 0.089
9 Sb 0.667 0.333 0.578
10 Rh 0.000 0.000 0.500
11 Rh 0.333 0.667 0.167
12 Rh 0.667 0.333 0.833

Output
The calculation puts the total energy at -6.804 eV per atom. The calculation puts the uncorrected formation energy at 0.058 eV per atom.